No. 1
Here is NdY2Si2Pt7 after structural relaxation from the Alexandria database. Energies are from GGA-PBE.

V	227.8	Å³/cell
formation energy (no corrections)	-12.74	eV/f.u.
crystal system	monoclinic
symmetry	C2/m

a b c (Å): 4.0788 4.0788 13.8554
angles (deg): 96.21 96.21 89.28
Last column: nearest neighbours and their distance in Å.
Sites, in units of the cell vectors:
Nd  0.0000  0.0000  0.0000  12 Pt 2.87-3.07
Y  0.1159  0.1159  0.3585  9 Pt 3.01-3.36, 4 Si 3.11-3.29
Y  0.8841  0.8841  0.6415  9 Pt 3.01-3.36, 4 Si 3.11-3.29
Si  0.4033  0.4033  0.7399  5 Pt 2.32-2.40
Si  0.5967  0.5967  0.2601  5 Pt 2.32-2.40
Pt  0.0630  0.5622  0.1673  2 Si 2.40
Pt  0.3673  0.3673  0.5708  1 Si 2.32
Pt  0.4378  0.9370  0.8327  2 Si 2.40
Pt  0.5000  0.5000  0.0000  4 Nd 2.87-2.90, 8 Pt 3.06-3.07
Pt  0.5622  0.0630  0.1673  2 Si 2.40
Pt  0.6327  0.6327  0.4292  1 Si 2.32
Pt  0.9370  0.4378  0.8327  2 Si 2.40

---

No. 2
Here is Pu2H2I after structural relaxation from the Alexandria database. Energies are from GGA-PBE.

V	191.2	Å³/cell
crystal system	tetragonal
calculated total energy	-7.819	eV/atom
symmetry	I4/mmm

a b c (Å): 3.8060 3.8060 13.1965
angles (deg): 90.00 90.00 90.00
Last column: nearest neighbours and their distance in Å.
Sites, in units of the cell vectors:
Pu  0.0000  0.0000  0.1550  4 H 2.28
Pu  0.0000  0.0000  0.8450  4 H 2.28
Pu  0.5000  0.5000  0.3450  4 H 2.28
Pu  0.5000  0.5000  0.6550  4 H 2.28
H  0.0000  0.5000  0.2500  4 Pu 2.28
H  0.0000  0.5000  0.7500  4 Pu 2.28
H  0.5000  0.0000  0.2500  4 Pu 2.28
H  0.5000  0.0000  0.7500  4 Pu 2.28
I  0.0000  0.0000  0.5000  8 Pu 3.38
I  0.5000  0.5000  0.0000  8 Pu 3.38

---

No. 3
Here is Cd2BiAs2 after structural relaxation from the Alexandria database. Energies are from GGA-PBE.

V	248.8	Å³/cell
crystal system	tetragonal
ΔH_f (0 K)	16	kJ per mole of atoms
symmetry	I4/mmm
energy above the lowest structure with this stoichiometry	0.0417	eV per atom

a b c (Å): 3.8604 3.8604 16.6971
angles (deg): 90.00 90.00 90.00
Last column: nearest neighbours and their distance in Å.
Sites, in units of the cell vectors:
Cd  0.0000  0.0000  0.1075  4 As 3.06, 4 Bi 3.27
Cd  0.0000  0.0000  0.8925  4 As 3.06, 4 Bi 3.27
Cd  0.5000  0.5000  0.3925  4 As 3.06, 4 Bi 3.27
Cd  0.5000  0.5000  0.6075  4 As 3.06, 4 Bi 3.27
Bi  0.0000  0.0000  0.5000  8 Cd 3.27
Bi  0.5000  0.5000  0.0000  8 Cd 3.27
As  0.0000  0.5000  0.2500  4 As 2.73
As  0.0000  0.5000  0.7500  4 As 2.73
As  0.5000  0.0000  0.2500  4 As 2.73
As  0.5000  0.0000  0.7500  4 As 2.73

---

No. 4
Here is KHfMnSe4 after structural relaxation from the Alexandria database. Energies are from GGA-PBE.

V	378.0	Å³/cell
formation energy (no corrections)	-6.44	eV/f.u.
crystal system	monoclinic
symmetry	P2_1/m

a b c (Å): 6.4608 6.7374 8.7559
angles (deg): 90.00 97.32 90.00
Last column: nearest neighbours and their distance in Å.
Sites, in units of the cell vectors:
K  0.2209  0.2500  0.0455  5 Se 3.23-3.58
K  0.7791  0.7500  0.9545  5 Se 3.23-3.58
Hf  0.1837  0.7500  0.4451  6 Se 2.69-2.80
Hf  0.8163  0.2500  0.5549  6 Se 2.69-2.80
Mn  0.3552  0.2500  0.6561  4 Se 2.34-2.43
Mn  0.6448  0.7500  0.3439  4 Se 2.34-2.43
Se  0.1039  0.5081  0.6914  1 Mn 2.43, 1 Hf 2.71
Se  0.1039  0.9919  0.6914  1 Mn 2.43, 1 Hf 2.71
Se  0.3269  0.7500  0.1699  1 Mn 2.40
Se  0.4292  0.2500  0.4011  1 Mn 2.34
Se  0.5708  0.7500  0.5989  1 Mn 2.34
Se  0.6731  0.2500  0.8301  1 Mn 2.40
Se  0.8961  0.0081  0.3086  1 Mn 2.43, 1 Hf 2.71
Se  0.8961  0.4919  0.3086  1 Mn 2.43, 1 Hf 2.71

---

No. 5
Here is PaZnSbN after structural relaxation from the Alexandria database. Energies are from GGA-PBE.

V	157.7	Å³/cell
formation energy (no corrections)	-3.47	eV/f.u.
crystal system	tetragonal
symmetry	P4/nmm

a b c (Å): 4.0037 4.0037 9.8404
angles (deg): 90.00 90.00 90.00
Last column: nearest neighbours and their distance in Å.
Sites, in units of the cell vectors:
Pa  0.2500  0.2500  0.1168  4 N 2.31
Pa  0.7500  0.7500  0.8832  4 N 2.31
Zn  0.2500  0.7500  0.5000  4 Sb 2.83, 4 Zn 2.83
Zn  0.7500  0.2500  0.5000  4 Sb 2.83, 4 Zn 2.83
Sb  0.2500  0.2500  0.7033  4 Zn 2.83
Sb  0.7500  0.7500  0.2967  4 Zn 2.83
N  0.2500  0.7500  0.0000  4 Pa 2.31
N  0.7500  0.2500  0.0000  4 Pa 2.31

---

No. 6
Here is Ho4Pd12Au after structural relaxation from the Alexandria database. Energies are from GGA-PBE.

V	310.9	Å³/cell
crystal system	cubic
ΔH_f (0 K)	-74	kJ per mole of atoms
symmetry	Im-3m

a b c (Å): 7.3914 7.3914 7.3914
angles (deg): 109.47 109.47 109.47
Last column: nearest neighbours and their distance in Å.
Sites, in units of the cell vectors:
Ho  0.0000  0.0000  0.5000  12 Pd 3.02-3.05
Ho  0.0000  0.5000  0.0000  12 Pd 3.02-3.05
Ho  0.5000  0.0000  0.0000  12 Pd 3.02-3.05
Ho  0.5000  0.5000  0.5000  12 Pd 3.02-3.05
Pd  0.0000  0.3035  0.3035  1 Au 2.59, 4 Pd 2.71
Pd  0.0000  0.6965  0.6965  1 Au 2.59, 4 Pd 2.71
Pd  0.2500  0.5000  0.7500  8 Pd 2.71-3.02, 4 Ho 3.02
Pd  0.2500  0.7500  0.5000  8 Pd 2.71-3.02, 4 Ho 3.02
Pd  0.3035  0.0000  0.3035  1 Au 2.59, 4 Pd 2.71
Pd  0.3035  0.3035  0.0000  1 Au 2.59, 4 Pd 2.71
Pd  0.5000  0.2500  0.7500  8 Pd 2.71-3.02, 4 Ho 3.02
Pd  0.5000  0.7500  0.2500  8 Pd 2.71-3.02, 4 Ho 3.02
Pd  0.6965  0.0000  0.6965  1 Au 2.59, 4 Pd 2.71
Pd  0.6965  0.6965  0.0000  1 Au 2.59, 4 Pd 2.71
Pd  0.7500  0.2500  0.5000  8 Pd 2.71-3.02, 4 Ho 3.02
Pd  0.7500  0.5000  0.2500  8 Pd 2.71-3.02, 4 Ho 3.02
Au  0.0000  0.0000  0.0000  6 Pd 2.59

---

No. 7
Here is LaInO2F after structural relaxation from the Alexandria database. Energies are from GGA-PBE.

V	78.7	Å³/cell
formation energy (no corrections)	-10.24	eV/f.u.
crystal system	tetragonal
symmetry	P4/mmm

a b c (Å): 4.2866 4.2866 4.2829
angles (deg): 90.00 90.00 90.00
Last column: nearest neighbours and their distance in Å.
Sites, in units of the cell vectors:
La  0.0000  0.0000  0.0000  8 O 3.03, 4 F 3.03
In  0.5000  0.5000  0.5000  2 F 2.14, 4 O 2.14
O  0.0000  0.5000  0.5000  2 In 2.14
O  0.5000  0.0000  0.5000  2 In 2.14
F  0.5000  0.5000  0.0000  2 In 2.14

---

No. 8
Here is IrPt4Rh7 after structural relaxation from the Alexandria database. Energies are from GGA-PBE.

V	176.5	Å³/cell
crystal system	trigonal
ΔH_f (0 K)	-1	kJ per mole of atoms
symmetry	P-3m1

a b c (Å): 2.7508 2.7508 26.9376
angles (deg): 90.00 90.00 120.00
Last column: nearest neighbours and their distance in Å.
Sites, in units of the cell vectors:
Ir  0.0000  0.0000  0.0000  6 Rh 2.70, 6 Ir 2.75
Pt  0.3333  0.6667  0.1663  6 Pt 2.75, 6 Rh 2.78-2.79
Pt  0.3333  0.6667  0.4160  6 Pt 2.75, 6 Rh 2.76-2.78
Pt  0.6667  0.3333  0.5840  6 Pt 2.75, 6 Rh 2.76-2.78
Pt  0.6667  0.3333  0.8337  6 Pt 2.75, 6 Rh 2.78-2.79
Rh  0.0000  0.0000  0.2512  9 Rh 2.68-2.75, 3 Pt 2.78
Rh  0.0000  0.0000  0.5000  6 Rh 2.75, 6 Pt 2.76
Rh  0.0000  0.0000  0.7488  9 Rh 2.68-2.75, 3 Pt 2.78
Rh  0.3333  0.6667  0.6685  9 Rh 2.68-2.75, 3 Pt 2.78
Rh  0.3333  0.6667  0.9189  3 Ir 2.70, 6 Rh 2.75, 3 Pt 2.79
Rh  0.6667  0.3333  0.0811  3 Ir 2.70, 6 Rh 2.75, 3 Pt 2.79
Rh  0.6667  0.3333  0.3315  9 Rh 2.68-2.75, 3 Pt 2.78

---

No. 9
Here is TlIn2Cu after structural relaxation from the Alexandria database. Energies are from GGA-PBE.

V	194.3	Å³/cell
crystal system	orthorhombic
ΔH_f (0 K)	13	kJ per mole of atoms
symmetry	Immm

a b c (Å): 3.1870 5.0696 12.0243
angles (deg): 90.00 90.00 90.00
Last column: nearest neighbours and their distance in Å.
Sites, in units of the cell vectors:
Tl  0.0000  0.0000  0.0000  4 Cu 2.99, 2 Tl 3.19
Tl  0.5000  0.5000  0.5000  4 Cu 2.99, 2 Tl 3.19
In  0.0000  0.5000  0.1947  2 Cu 2.83
In  0.0000  0.5000  0.8053  2 Cu 2.83
In  0.5000  0.0000  0.3053  2 Cu 2.83
In  0.5000  0.0000  0.6947  2 Cu 2.83
Cu  0.0000  0.0000  0.5000  4 In 2.83, 4 Tl 2.99
Cu  0.5000  0.5000  0.0000  4 In 2.83, 4 Tl 2.99

---

No. 10
Here is Zn4IrW2 after structural relaxation from the Alexandria database. Energies are from GGA-PBE.

V	291.4	Å³/cell
crystal system	tetragonal
ΔH_f (0 K)	102	kJ per mole of atoms
symmetry	I4/mmm

a b c (Å): 4.8050 4.8050 12.6235
angles (deg): 90.00 90.00 90.00
Last column: nearest neighbours and their distance in Å.
Sites, in units of the cell vectors:
Zn  0.0000  0.0000  0.1960  1 Ir 2.47, 1 W 2.69
Zn  0.0000  0.0000  0.8040  1 Ir 2.47, 1 W 2.69
Zn  0.0000  0.5000  0.0000  2 Ir 2.40, 4 W 2.66
Zn  0.0000  0.5000  0.5000  2 Ir 2.40, 4 W 2.66
Zn  0.5000  0.0000  0.0000  2 Ir 2.40, 4 W 2.66
Zn  0.5000  0.0000  0.5000  2 Ir 2.40, 4 W 2.66
Zn  0.5000  0.5000  0.3040  1 Ir 2.47, 1 W 2.69
Zn  0.5000  0.5000  0.6960  1 Ir 2.47, 1 W 2.69
Ir  0.0000  0.0000  0.0000  6 Zn 2.40-2.47
Ir  0.5000  0.5000  0.5000  6 Zn 2.40-2.47
W  0.0000  0.0000  0.4093  1 W 2.29
W  0.0000  0.0000  0.5907  1 W 2.29
W  0.5000  0.5000  0.0907  1 W 2.29
W  0.5000  0.5000  0.9093  1 W 2.29

---

No. 11
Here is Hf7Ga2Ge2 after structural relaxation from the Alexandria database. Energies are from GGA-PBE.

V	237.7	Å³/cell
crystal system	orthorhombic
ΔH_f (0 K)	-6	kJ per mole of atoms
symmetry	Cmmm

a b c (Å): 6.1543 6.1543 6.4574
angles (deg): 90.00 90.00 103.57
Last column: nearest neighbours and their distance in Å.
Sites, in units of the cell vectors:
Hf  0.0000  0.0000  0.0000  2 Ge 2.72
Hf  0.0000  0.5000  0.2730  2 Ge 2.61, 2 Ga 2.89
Hf  0.0000  0.5000  0.7270  2 Ge 2.61, 2 Ga 2.89
Hf  0.5000  0.0000  0.2730  2 Ge 2.61, 2 Ga 2.89
Hf  0.5000  0.0000  0.7270  2 Ge 2.61, 2 Ga 2.89
Hf  0.5000  0.5000  0.2651  2 Ge 2.72, 2 Ga 2.92, 1 Hf 3.03
Hf  0.5000  0.5000  0.7349  2 Ge 2.72, 2 Ga 2.92, 1 Hf 3.03
Ga  0.1728  0.1728  0.5000  1 Ga 2.63, 6 Hf 2.89-2.92
Ga  0.8272  0.8272  0.5000  1 Ga 2.63, 6 Hf 2.89-2.92
Ge  0.2815  0.7185  0.0000  7 Hf 2.61-2.72
Ge  0.7185  0.2815  0.0000  7 Hf 2.61-2.72

---

No. 12
Here is ZnOs2Se after structural relaxation from the Alexandria database. Energies are from GGA-PBE.

V	120.6	Å³/cell
formation energy (no corrections)	2.38	eV/f.u.
crystal system	monoclinic
symmetry	Cm
energy above the lowest structure with this stoichiometry	0.2776	eV per atom

a b c (Å): 9.0879 2.9539 4.6464
angles (deg): 90.00 104.86 90.00
Last column: nearest neighbours and their distance in Å.
Sites, in units of the cell vectors:
Zn  0.0000  0.0000  0.0000  7 Os 2.68-2.83, 3 Se 2.73-2.82, 2 Zn 2.95
Zn  0.5000  0.5000  0.0000  7 Os 2.68-2.83, 3 Se 2.73-2.82, 2 Zn 2.95
Os  0.0015  0.5000  0.5192  3 Se 2.63-2.93, 4 Zn 2.68-2.83, 3 Os 2.69-2.89
Os  0.2462  0.0000  0.7840  4 Se 2.64-2.87, 3 Zn 2.68-2.71, 5 Os 2.69-2.95
Os  0.5015  0.0000  0.5192  3 Se 2.63-2.93, 4 Zn 2.68-2.83, 3 Os 2.69-2.89
Os  0.7462  0.5000  0.7840  4 Se 2.64-2.87, 3 Zn 2.68-2.71, 5 Os 2.69-2.95
Se  0.2645  0.5000  0.2641  7 Os 2.63-2.93, 3 Zn 2.73-2.82
Se  0.7645  0.0000  0.2641  7 Os 2.63-2.93, 3 Zn 2.73-2.82